(1)
Material: DyNpMnO6
Method: DFT, PBE+U
State: optimized geometry

```
DyNpMnO6
1.0
5.716 0.000 0.000
-2.858 4.950 0.000
0.000 0.000 8.951
O Np Mn Dy
12 2 2 2
direct
0.670 0.031 0.368 O
0.330 0.361 0.868 O
0.969 0.330 0.132 O
0.969 0.639 0.368 O
0.330 0.969 0.632 O
0.670 0.639 0.132 O
0.361 0.031 0.132 O
0.361 0.330 0.368 O
0.639 0.670 0.632 O
0.639 0.969 0.868 O
0.031 0.361 0.632 O
0.031 0.670 0.868 O
0.333 0.667 0.750 Np
0.667 0.333 0.250 Np
0.000 0.000 0.000 Mn
0.000 0.000 0.500 Mn
0.667 0.333 0.750 Dy
0.333 0.667 0.250 Dy
```

Output
uncorrected energy = -8.6547 eV/atom
crystal system = trigonal



(2)
Material: Dy2NpMnO8
Method: DFT, PBE+U
State: optimized geometry

```
Dy2NpMnO8
1.0
4.973 -0.183 0.158
-0.173 4.977 -0.172
0.217 -0.214 6.941
O Np Dy Mn
8 1 2 1
direct
0.703 0.709 0.001 O
0.201 0.792 0.806 O
0.713 0.715 0.500 O
0.159 0.839 0.256 O
0.841 0.161 0.744 O
0.297 0.291 0.999 O
0.799 0.208 0.194 O
0.287 0.285 0.500 O
0.000 0.000 0.000 Np
0.467 0.532 0.267 Dy
0.533 0.468 0.733 Dy
0.000 0.000 0.500 Mn
```

Output
uncorrected energy = -8.5247 eV/atom
crystal system = triclinic



(3)
Material: DyNpMn2O8
Method: DFT, PBE+U
State: optimized geometry

```
DyNpMn2O8
1.0
-3.324 1.687 3.040
-2.635 -4.019 -0.191
2.838 -2.834 5.610
O Dy Mn Np
8 1 2 1
direct
0.284 0.283 0.958 O
0.798 0.201 0.770 O
0.679 0.679 0.517 O
0.202 0.799 0.230 O
0.200 0.798 0.770 O
0.321 0.321 0.483 O
0.716 0.717 0.042 O
0.800 0.202 0.230 O
0.000 0.000 0.500 Dy
0.479 0.479 0.724 Mn
0.521 0.521 0.276 Mn
0.000 0.000 0.000 Np
```

Output
uncorrected energy = -8.2964 eV/atom
crystal system = monoclinic



(4)
Material: DyMn2O5
Method: DFT, PBE+U
State: optimized geometry

```
DyMn2O5
1.0
-0.576 -5.752 -0.277
4.890 -0.225 -5.487
6.342 -0.909 5.689
O Mn Dy
20 8 4
direct
0.760 0.607 0.793 O
0.760 0.893 0.293 O
0.500 0.151 0.430 O
0.760 0.393 0.207 O
0.000 0.836 0.557 O
0.000 0.164 0.443 O
0.240 0.893 0.293 O
0.000 0.664 0.057 O
0.730 0.000 0.000 O
0.240 0.107 0.707 O
0.730 0.500 0.500 O
0.240 0.607 0.793 O
0.240 0.393 0.207 O
0.500 0.349 0.930 O
0.500 0.651 0.070 O
0.760 0.107 0.707 O
0.500 0.849 0.570 O
0.270 0.500 0.500 O
0.270 0.000 0.000 O
0.000 0.336 0.943 O
0.500 0.589 0.652 Mn
0.746 0.500 0.000 Mn
0.500 0.411 0.348 Mn
0.254 0.000 0.500 Mn
0.746 0.000 0.500 Mn
0.254 0.500 0.000 Mn
0.500 0.911 0.152 Mn
0.500 0.089 0.848 Mn
0.000 0.362 0.671 Dy
0.000 0.638 0.329 Dy
0.000 0.138 0.171 Dy
0.000 0.862 0.829 Dy
```

Output
excess energy over the best structure of this formula in the dataset = 0 meV/atom
crystal system = orthorhombic



(5)
Material: DyMn2O6
Method: DFT, PBE+U
State: optimized geometry

```
DyMn2O6
1.0
4.871 0.000 0.000
0.000 4.338 -2.504
0.000 0.000 5.009
Mn O Dy
2 6 1
direct
0.500 0.333 0.667 Mn
0.500 0.667 0.333 Mn
0.283 0.000 0.635 O
0.283 0.635 0.000 O
0.283 0.365 0.365 O
0.717 0.365 0.000 O
0.717 0.635 0.635 O
0.717 0.000 0.365 O
0.000 0.000 0.000 Dy
```

Output
excess energy over the best structure of this formula in the dataset = 0 meV/atom
crystal system = trigonal



(6)
Material: Dy2Mn2O7
Method: DFT, PBE+U
State: optimized geometry

```
Dy2Mn2O7
1.0
7.099 0.000 0.000
3.549 6.148 0.000
3.549 2.049 5.796
O Mn Dy
14 4 4
direct
0.955 0.545 0.955 O
0.955 0.545 0.545 O
0.295 0.705 0.295 O
0.545 0.955 0.545 O
0.250 0.250 0.250 O
0.545 0.545 0.955 O
0.000 0.000 0.000 O
0.705 0.705 0.295 O
0.955 0.955 0.545 O
0.705 0.295 0.295 O
0.545 0.955 0.955 O
0.705 0.295 0.705 O
0.295 0.295 0.705 O
0.295 0.705 0.705 O
0.125 0.625 0.625 Mn
0.625 0.625 0.625 Mn
0.625 0.625 0.125 Mn
0.625 0.125 0.625 Mn
0.125 0.125 0.625 Dy
0.625 0.125 0.125 Dy
0.125 0.625 0.125 Dy
0.125 0.125 0.125 Dy
```

Output
uncorrected energy = -7.7958 eV/atom
crystal system = cubic



(7)
Material: Dy4Mn6O19
Method: DFT, PBE+U
State: optimized geometry

```
Dy4Mn6O19
1.0
-3.591 -1.272 -6.384
7.283 0.648 -1.341
-1.165 -5.665 4.671
O Mn Dy
19 6 4
direct
0.635 0.670 0.397 O
0.603 0.273 0.238 O
0.238 0.603 0.273 O
0.000 0.347 0.347 O
0.365 0.762 0.035 O
0.000 0.653 0.653 O
0.273 0.238 0.603 O
0.653 0.000 0.653 O
0.000 0.000 0.000 O
0.762 0.035 0.365 O
0.347 0.347 0.000 O
0.397 0.635 0.670 O
0.653 0.653 0.000 O
0.330 0.965 0.727 O
0.670 0.397 0.635 O
0.347 0.000 0.347 O
0.727 0.330 0.965 O
0.965 0.727 0.330 O
0.035 0.365 0.762 O
0.338 0.500 0.838 Mn
0.500 0.838 0.338 Mn
0.662 0.500 0.162 Mn
0.838 0.338 0.500 Mn
0.500 0.162 0.662 Mn
0.162 0.662 0.500 Mn
0.000 0.000 0.676 Dy
0.676 0.000 0.000 Dy
0.324 0.324 0.324 Dy
0.000 0.676 0.000 Dy
```

Output
uncorrected energy = -7.4617 eV/atom
crystal system = cubic



(8)
Material: DyMnO3
Method: DFT, PBE+U
State: optimized geometry

```
DyMnO3
1.0
-3.049 -1.752 -1.670
1.775 -3.210 4.666
-4.054 5.925 1.185
O Dy Mn
6 2 2
direct
0.246 0.493 0.157 O
0.486 0.971 0.744 O
0.149 0.299 0.533 O
0.851 0.701 0.467 O
0.754 0.507 0.843 O
0.514 0.029 0.256 O
0.102 0.203 0.816 Dy
0.898 0.797 0.184 Dy
0.666 0.331 0.537 Mn
0.334 0.669 0.463 Mn
```

Output
uncorrected energy = -7.8080 eV/atom
crystal system = monoclinic



(9)
Material: DyMn2O5
Method: DFT, PBE+U
State: optimized geometry

```
DyMn2O5
1.0
3.939 0.000 0.000
-1.969 4.989 0.000
0.000 0.000 9.573
O Dy Mn
10 2 4
direct
0.668 0.336 0.985 O
0.668 0.336 0.515 O
0.207 0.413 0.750 O
0.041 0.082 0.377 O
0.332 0.664 0.485 O
0.959 0.918 0.623 O
0.041 0.082 0.123 O
0.793 0.587 0.250 O
0.332 0.664 0.015 O
0.959 0.918 0.877 O
0.419 0.838 0.750 Dy
0.581 0.162 0.250 Dy
0.143 0.287 0.553 Mn
0.857 0.713 0.447 Mn
0.143 0.287 0.947 Mn
0.857 0.713 0.053 Mn
```

Output
excess energy over the best structure of this formula in the dataset = 115 meV/atom
crystal system = orthorhombic



(10)
Material: DyMnO3
Method: DFT, PBE+U
State: optimized geometry

```
DyMnO3
1.0
-2.684 0.139 -1.966
-2.918 -3.759 3.719
-4.437 10.145 6.773
O Dy Mn
12 4 4
direct
0.359 0.800 0.576 O
0.641 0.200 0.424 O
0.641 0.200 0.076 O
0.141 0.300 0.924 O
0.755 0.035 0.750 O
0.859 0.700 0.424 O
0.141 0.300 0.576 O
0.859 0.700 0.076 O
0.245 0.965 0.250 O
0.359 0.800 0.924 O
0.745 0.535 0.750 O
0.255 0.465 0.250 O
0.252 0.783 0.750 Dy
0.248 0.283 0.750 Dy
0.752 0.717 0.250 Dy
0.748 0.217 0.250 Dy
0.500 0.500 0.000 Mn
0.500 0.500 0.500 Mn
0.000 0.000 0.000 Mn
0.000 0.000 0.500 Mn
```

Output
uncorrected energy = -7.7194 eV/atom
crystal system = orthorhombic



(11)
Material: Dy3MnO
Method: DFT, PBE+U
State: optimized geometry

```
Dy3MnO
1.0
4.795 0.000 0.000
0.000 4.795 0.000
0.000 0.000 4.795
O Dy Mn
1 3 1
direct
0.000 0.000 0.000 O
0.000 0.000 0.500 Dy
0.000 0.500 0.000 Dy
0.500 0.000 0.000 Dy
0.500 0.500 0.500 Mn
```

Output
uncorrected energy = -6.3170 eV/atom
crystal system = cubic



(12)
Material: DyMnO3
Method: DFT, PBE+U
State: optimized geometry

```
DyMnO3
1.0
-2.133 -5.766 -0.965
3.583 2.749 -4.282
9.425 -4.340 5.099
O Mn Dy
18 6 6
direct
0.000 0.307 0.172 O
0.000 0.359 0.843 O
0.000 0.693 0.672 O
0.333 0.667 0.028 O
0.693 0.693 0.172 O
0.693 0.000 0.672 O
0.000 0.641 0.343 O
0.307 0.307 0.672 O
0.359 0.359 0.343 O
0.000 0.000 0.484 O
0.641 0.641 0.843 O
0.333 0.667 0.528 O
0.307 0.000 0.172 O
0.667 0.333 0.528 O
0.667 0.333 0.028 O
0.359 0.000 0.843 O
0.641 0.000 0.343 O
0.000 0.000 0.984 O
0.333 0.000 0.008 Mn
0.000 0.667 0.508 Mn
0.667 0.000 0.508 Mn
0.333 0.333 0.508 Mn
0.000 0.333 0.008 Mn
0.667 0.667 0.008 Mn
0.667 0.333 0.739 Dy
0.000 0.000 0.783 Dy
0.333 0.667 0.739 Dy
0.000 0.000 0.283 Dy
0.333 0.667 0.239 Dy
0.667 0.333 0.239 Dy
```

Output
uncorrected energy = -8.0304 eV/atom
crystal system = hexagonal



What did the seventh record say?
Material: Dy4Mn6O19
Method: DFT, PBE+U
State: optimized geometry

```
Dy4Mn6O19
1.0
-3.591 -1.272 -6.384
7.283 0.648 -1.341
-1.165 -5.665 4.671
O Mn Dy
19 6 4
direct
0.635 0.670 0.397 O
0.603 0.273 0.238 O
0.238 0.603 0.273 O
0.000 0.347 0.347 O
0.365 0.762 0.035 O
0.000 0.653 0.653 O
0.273 0.238 0.603 O
0.653 0.000 0.653 O
0.000 0.000 0.000 O
0.762 0.035 0.365 O
0.347 0.347 0.000 O
0.397 0.635 0.670 O
0.653 0.653 0.000 O
0.330 0.965 0.727 O
0.670 0.397 0.635 O
0.347 0.000 0.347 O
0.727 0.330 0.965 O
0.965 0.727 0.330 O
0.035 0.365 0.762 O
0.338 0.500 0.838 Mn
0.500 0.838 0.338 Mn
0.662 0.500 0.162 Mn
0.838 0.338 0.500 Mn
0.500 0.162 0.662 Mn
0.162 0.662 0.500 Mn
0.000 0.000 0.676 Dy
0.676 0.000 0.000 Dy
0.324 0.324 0.324 Dy
0.000 0.676 0.000 Dy
```

Output
uncorrected energy = -7.4617 eV/atom
crystal system = cubic